Computed, not measured: crystalline Zr3Zn at its relaxed geometry at the PBE level of DFT.

```
data_Zr3Zn
_symmetry_space_group_name_H-M 'P 1'
_symmetry_Int_Tables_number 1
_cell_length_a 5.690
_cell_length_b 5.690
_cell_length_c 5.690
_cell_angle_alpha 116.79
_cell_angle_beta 116.79
_cell_angle_gamma 116.79
loop_
_symmetry_equiv_pos_as_xyz
'x,y,z'
loop_
_atom_site_label
_atom_site_type_symbol
_atom_site_fract_x
_atom_site_fract_y
_atom_site_fract_z
Zn1 Zn 0.000 0.000 0.000
Zr1 Zr 0.000 0.500 0.500
Zr2 Zr 0.500 0.000 0.500
Zr3 Zr 0.500 0.500 0.000
```

Total DFT energy (no corrections), eV/f.u.: -26.8
Formation energy from the elements, eV/atom: 0.019

***

Computed, not measured: crystalline NdMgCuGe at its relaxed geometry at the PBE level of DFT.

```
data_NdMgCuGe
_symmetry_space_group_name_H-M 'P 1'
_symmetry_Int_Tables_number 1
_cell_length_a 4.898
_cell_length_b 4.898
_cell_length_c 4.898
_cell_angle_alpha 60.00
_cell_angle_beta 60.00
_cell_angle_gamma 60.00
loop_
_symmetry_equiv_pos_as_xyz
'x,y,z'
loop_
_atom_site_label
_atom_site_type_symbol
_atom_site_fract_x
_atom_site_fract_y
_atom_site_fract_z
Ge1 Ge 0.250 0.250 0.250
Nd1 Nd 0.000 0.000 0.000
Mg1 Mg 0.500 0.500 0.500
Cu1 Cu 0.750 0.750 0.750
```

Total DFT energy (no corrections), eV/f.u.: -16.5
Formation energy from the elements, eV/atom: -0.351

***

Computed, not measured: crystalline CaPr2SiO6 at its relaxed geometry at the PBE level of DFT.

```
data_CaPr2SiO6
_symmetry_space_group_name_H-M 'P 1'
_symmetry_Int_Tables_number 1
_cell_length_a 4.798
_cell_length_b 5.413
_cell_length_c 5.413
_cell_angle_alpha 90.00
_cell_angle_beta 90.00
_cell_angle_gamma 90.00
loop_
_symmetry_equiv_pos_as_xyz
'x,y,z'
loop_
_atom_site_label
_atom_site_type_symbol
_atom_site_fract_x
_atom_site_fract_y
_atom_site_fract_z
Ca1 Ca 0.579 0.500 0.500
Pr1 Pr 0.015 0.500 0.000
Pr2 Pr 0.015 0.000 0.500
Si1 Si 0.608 0.000 0.000
O1 O 0.714 0.220 0.220
O2 O 0.714 0.220 0.780
O3 O 0.117 0.500 0.500
O4 O 0.257 0.000 0.000
O5 O 0.714 0.780 0.780
O6 O 0.714 0.780 0.220
```

Total DFT energy (no corrections), eV/f.u.: -76.7
Formation energy (no corrections), eV/atom: -3.00

***

Computed, not measured: crystalline NaSe2BrCl at its relaxed geometry at the PBE level of DFT.

```
data_NaSe2BrCl
_symmetry_space_group_name_H-M 'P 1'
_symmetry_Int_Tables_number 1
_cell_length_a 4.849
_cell_length_b 4.849
_cell_length_c 7.663
_cell_angle_alpha 90.00
_cell_angle_beta 90.00
_cell_angle_gamma 90.00
loop_
_symmetry_equiv_pos_as_xyz
'x,y,z'
loop_
_atom_site_label
_atom_site_type_symbol
_atom_site_fract_x
_atom_site_fract_y
_atom_site_fract_z
Na1 Na 0.500 0.500 0.500
Se1 Se 0.000 0.500 0.000
Se2 Se 0.500 0.000 0.000
Br1 Br 0.000 0.000 0.500
Cl1 Cl 0.000 0.000 0.000
```

Total DFT energy (no corrections), eV/f.u.: -11.4
Formation energy (no corrections), eV/atom: 0.09
E above lowest polymorph, eV/atom: 0.000

***

Computed, not measured: crystalline KCaMnCl6 at its relaxed geometry at the PBE level of DFT.

```
data_KCaMnCl6
_symmetry_space_group_name_H-M 'P 1'
_symmetry_Int_Tables_number 1
_cell_length_a 6.794
_cell_length_b 6.794
_cell_length_c 13.519
_cell_angle_alpha 90.00
_cell_angle_beta 90.00
_cell_angle_gamma 120.00
loop_
_symmetry_equiv_pos_as_xyz
'x,y,z'
loop_
_atom_site_label
_atom_site_type_symbol
_atom_site_fract_x
_atom_site_fract_y
_atom_site_fract_z
K1 K 0.000 0.000 0.000
K2 K 0.000 0.000 0.500
Ca1 Ca 0.333 0.667 0.250
Ca2 Ca 0.667 0.333 0.750
Mn1 Mn 0.667 0.333 0.250
Mn2 Mn 0.333 0.667 0.750
Cl1 Cl 0.649 0.611 0.145
Cl2 Cl 0.962 0.351 0.145
Cl3 Cl 0.351 0.962 0.645
Cl4 Cl 0.038 0.649 0.855
Cl5 Cl 0.389 0.351 0.355
Cl6 Cl 0.962 0.611 0.355
Cl7 Cl 0.611 0.962 0.855
Cl8 Cl 0.649 0.038 0.355
Cl9 Cl 0.038 0.389 0.645
Cl10 Cl 0.389 0.038 0.145
Cl11 Cl 0.611 0.649 0.645
Cl12 Cl 0.351 0.389 0.855
```

Total DFT energy (no corrections), eV/f.u.: -38.3
Formation energy (no corrections), eV/atom: -1.66

***

Computed, not measured: crystalline CoPSe2 at its relaxed geometry at the PBE level of DFT.

```
data_CoPSe2
_symmetry_space_group_name_H-M 'P 1'
_symmetry_Int_Tables_number 1
_cell_length_a 4.162
_cell_length_b 4.162
_cell_length_c 7.053
_cell_angle_alpha 72.54
_cell_angle_beta 72.54
_cell_angle_gamma 48.68
loop_
_symmetry_equiv_pos_as_xyz
'x,y,z'
loop_
_atom_site_label
_atom_site_type_symbol
_atom_site_fract_x
_atom_site_fract_y
_atom_site_fract_z
Co1 Co 0.441 0.441 0.375
P1 P 0.148 0.148 0.375
Se1 Se 0.036 0.036 0.113
Se2 Se 0.875 0.875 0.637
```

Total DFT energy (no corrections), eV/f.u.: -20.2
Formation energy (no corrections), eV/atom: -0.18

***

Computed, not measured: crystalline TbCeSc2Bi4 at its relaxed geometry at the PBE level of DFT.

```
data_TbCeSc2Bi4
_symmetry_space_group_name_H-M 'P 1'
_symmetry_Int_Tables_number 1
_cell_length_a 4.418
_cell_length_b 7.646
_cell_length_c 7.611
_cell_angle_alpha 109.51
_cell_angle_beta 90.00
_cell_angle_gamma 90.00
loop_
_symmetry_equiv_pos_as_xyz
'x,y,z'
loop_
_atom_site_label
_atom_site_type_symbol
_atom_site_fract_x
_atom_site_fract_y
_atom_site_fract_z
Tb1 Tb 0.500 0.500 0.000
Ce1 Ce 0.000 0.000 0.000
Sc1 Sc 0.500 0.000 0.500
Sc2 Sc 0.000 0.500 0.500
Bi1 Bi 0.500 0.259 0.269
Bi2 Bi 0.500 0.741 0.731
Bi3 Bi 0.000 0.246 0.733
Bi4 Bi 0.000 0.754 0.267
```

Total DFT energy (no corrections), eV/f.u.: -44.7
Formation energy from the elements, eV/atom: -0.741

***

Computed, not measured: crystalline Pm2Tl3 at its relaxed geometry at the PBE level of DFT.

```
data_Pm2Tl3
_symmetry_space_group_name_H-M 'P 1'
_symmetry_Int_Tables_number 1
_cell_length_a 3.895
_cell_length_b 3.895
_cell_length_c 19.378
_cell_angle_alpha 90.00
_cell_angle_beta 90.00
_cell_angle_gamma 90.00
loop_
_symmetry_equiv_pos_as_xyz
'x,y,z'
loop_
_atom_site_label
_atom_site_type_symbol
_atom_site_fract_x
_atom_site_fract_y
_atom_site_fract_z
Pm1 Pm 0.500 0.500 0.196
Pm2 Pm 0.500 0.500 0.401
Pm3 Pm 0.500 0.500 0.599
Pm4 Pm 0.500 0.500 0.804
Tl1 Tl 0.000 0.000 0.899
Tl2 Tl 0.000 0.000 0.101
Tl3 Tl 0.000 0.000 0.301
Tl4 Tl 0.000 0.000 0.500
Tl5 Tl 0.000 0.000 0.699
Tl6 Tl 0.500 0.500 0.000
```

Total DFT energy (no corrections), eV/f.u.: -18.0
Formation energy from the elements, eV/atom: -0.282